Computed, not measured: a geometry-optimized BaTaTc2 structure at the GGA-PBE level of DFT.

Values from the calculation:
Crystal system: monoclinic
Distance to the lowest polymorph of the same formula: 0.76 eV/f.u.
Formation enthalpy at 0 K: 638 meV per atom

Cell: 9.5642 3.3509 6.3188 Å, 90.00 105.34 90.00°
Closest atoms and distances in Å follow each position.
Space group Cm (No. 8)
One atom of each set of equivalent atoms:
Ba 0.0000 0.0000 0.0000 (multiplicity 2)  2 Ba 3.35, 7 Tc 3.46-3.69, 3 Ta 3.47-3.67
Ta 0.1967 0.0000 0.6112 (multiplicity 2)  4 Tc 2.52-2.58
Tc 0.2789 0.5000 0.3711 (multiplicity 2)  2 Ta 2.52, 2 Tc 2.55
Tc 0.4870 0.0000 0.4740 (multiplicity 2)  2 Tc 2.55, 2 Ta 2.58

---

Computed, not measured: a geometry-optimized YMn2Br structure at the GGA-PBE level of DFT.

Values from the calculation:
Formation energy from raw total energies: 0.2177 eV/atom
Crystal system: orthorhombic
Distance to the lowest polymorph of the same formula: 1.24 eV/f.u.

Cell: 3.2921 4.7755 5.3908 Å, 90.00 90.00 90.00°
Closest atoms and distances in Å follow each position.
Space group Pmmm (No. 47)
One atom of each set of equivalent atoms:
Y 0.0000 0.0000 0.0000 (multiplicity 1)  4 Br 2.90, 4 Mn 3.16
Mn 0.0000 0.5000 0.5000 (multiplicity 1)  4 Mn 2.90, 4 Br 3.16
Mn 0.5000 0.0000 0.5000 (multiplicity 1)  4 Mn 2.90, 4 Y 3.16
Br 0.5000 0.5000 0.0000 (multiplicity 1)  4 Y 2.90, 4 Mn 3.16

---

Computed, not measured: a geometry-optimized Cu6SnPd12 structure at the GGA-PBE level of DFT.

Values from the calculation:
Crystal system: trigonal
Distance to the lowest polymorph of the same formula: 3.37 eV/f.u.
Formation enthalpy at 0 K: 16 meV per atom

Cell: 10.7353 10.7353 8.8292 Å, 90.00 90.00 120.00°
Closest atoms and distances in Å follow each position.
Space group R-3m (No. 166, hexagonal axes)
One atom of each set of equivalent atoms:
Cu 0.0841 0.1681 0.2451 (multiplicity 18)  7 Pd 2.70-2.79, 2 Cu 2.71, 1 Sn 2.74
Sn 0.0000 0.0000 0.5000 (multiplicity 3)  6 Cu 2.74, 6 Pd 2.81
Pd 0.0000 0.2617 0.5000 (multiplicity 18)  4 Cu 2.70-2.79, 6 Pd 2.74-2.85, 1 Sn 2.81
Pd 0.0760 0.5380 0.6164 (multiplicity 18)  5 Pd 2.49-2.74, 3 Cu 2.72-2.74

---

Computed, not measured: a geometry-optimized GeMoPdS2 structure at the GGA-PBE level of DFT.

Values from the calculation:
Formation energy from raw total energies: 0.3339 eV/atom
Crystal system: tetragonal

Cell: 4.5793 4.5793 5.0637 Å, 90.00 90.00 90.00°
Closest atoms and distances in Å follow each position.
Space group P4/mmm (No. 123)
One atom of each set of equivalent atoms:
Ge 0.0000 0.0000 0.0000 (multiplicity 1)  4 Pd 3.24, 8 S 3.41
Mo 0.5000 0.5000 0.5000 (multiplicity 1)  4 S 2.29, 2 Pd 2.53
Pd 0.5000 0.5000 0.0000 (multiplicity 1)  2 Mo 2.53
S 0.0000 0.5000 0.5000 (multiplicity 2)  2 Mo 2.29

---

Computed, not measured: a geometry-optimized Li2Ag2Br5 structure at the GGA-PBE level of DFT.

Values from the calculation:
Formation energy from raw total energies: -0.7948 eV/atom
Crystal system: monoclinic

Cell: 20.7520 3.9793 6.9189 Å, 90.00 107.05 90.00°
Closest atoms and distances in Å follow each position.
Space group C2/m (No. 12)
One atom of each set of equivalent atoms:
Li 0.1902 0.0000 0.3673 (multiplicity 4)  4 Br 2.51-2.57
Ag 0.0728 0.5000 0.7546 (multiplicity 4)  5 Br 2.66-2.86
Br 0.0000 0.0000 0.5000 (multiplicity 2)  4 Ag 2.79
Br 0.1006 0.0000 0.0221 (multiplicity 4)  1 Li 2.56, 2 Ag 2.66
Br 0.1819 0.5000 0.5796 (multiplicity 4)  3 Li 2.51-2.57

---

Computed, not measured: a geometry-optimized NaCa8Zn2 structure at the GGA-PBE level of DFT.

Values from the calculation:
Crystal system: monoclinic
Formation enthalpy at 0 K: -42 meV per atom

Cell: 9.6125 14.2887 6.0338 Å, 90.00 104.93 90.00°
Closest atoms and distances in Å follow each position.
Space group C2/m (No. 12)
One atom of each set of equivalent atoms:
Na 0.0000 0.0000 0.0000 (multiplicity 2)  8 Ca 3.56-3.99
Ca 0.0000 0.2492 0.0000 (multiplicity 4)  2 Zn 3.16
Ca 0.1080 0.5000 0.7957 (multiplicity 4)  2 Zn 3.22
Ca 0.2010 0.1320 0.5897 (multiplicity 8)  2 Zn 3.15-3.20
Zn 0.0000 0.3139 0.5000 (multiplicity 4)  8 Ca 3.15-3.22